Below is a relaxed SrCr2Ru crystal, with properties calculated at the PBE level.

Calculated values
Offset from the most stable computed form: 96.4 meV/atom
Calculated formation energy: 638.9 meV/atom
N(E_F): 1.17 states/eV per atom
Space-group type: Cm (8)
DFT total energy: -0.5080 Ry/atom

a b c (Å): 4.790 4.790 5.949
angles (deg): 74.75 74.75 37.99
Site moments in Bohr magnetons follow the coordinates.
Atoms (fractional coordinates):
Cr1 0.958 0.958 0.116  2.35
Cr2 0.252 0.252 0.255  -2.19
Ru1 0.534 0.534 0.385  0.06
Sr1 0.757 0.757 0.745  0.00



Below is a relaxed SrCrRu2 crystal, with properties calculated at the PBE level.

Calculated values
Offset from the most stable computed form: 354.9 meV/atom
Calculated formation energy: 715.4 meV/atom
N(E_F): 1.05 states/eV per atom
Space-group type: Immm (71)
DFT total energy: -0.4960 Ry/atom

a b c (Å): 5.451 5.451 5.451
angles (deg): 147.68 122.71 67.32
Site moments in Bohr magnetons follow the coordinates.
Atoms (fractional coordinates):
Cr1 0.250 0.750 0.500  1.07
Ru1 0.046 0.046 0.000  -0.17
Ru2 0.454 0.454 0.000  -0.17
Sr1 0.750 0.250 0.500  0.01



Below is a relaxed TaCrRu3 crystal, with properties calculated at the PBE level.

Calculated values
Offset from the most stable computed form: 893.6 meV/atom
Calculated formation energy: 1911.3 meV/atom
N(E_F): 1.83 states/eV per atom
Space-group type: Pm-3m (221)
DFT total energy: -0.5843 Ry/atom

a b c (Å): 4.649 4.649 4.649
angles (deg): 90.00 90.00 90.00
Site moments in Bohr magnetons follow the coordinates.
Atoms (fractional coordinates):
Ru1 0.000 0.500 0.000  -0.57
Ru2 0.000 0.000 0.500  -0.51
Ru3 0.500 0.000 0.000  -0.47
Cr1 0.500 0.500 0.500  -0.04
Ta1 0.000 0.000 0.000  0.09



Below is a relaxed TaCrRu crystal, with properties calculated at the PBE level.

Calculated values
Offset from the most stable computed form: 809.4 meV/atom
Calculated formation energy: 655.5 meV/atom
N(E_F): 0.99 states/eV per atom
Space-group type: F-43m (216)
DFT total energy: -0.7052 Ry/atom

a b c (Å): 4.241 4.241 4.241
angles (deg): 60.00 60.00 60.00
Site moments in Bohr magnetons follow the coordinates.
Atoms (fractional coordinates):
Cr1 0.000 0.000 0.000  2.73
Ru1 0.500 0.500 0.500  0.26
Ta1 0.750 0.750 0.750  -0.20



Below is a relaxed TaCrRu3 crystal, with properties calculated at the PBE level.

Calculated values
Offset from the most stable computed form: 0.0 meV/atom
Calculated formation energy: 1017.7 meV/atom
N(E_F): 1.40 states/eV per atom
Space-group type: Pm-3m (221)
DFT total energy: -0.6499 Ry/atom

a b c (Å): 4.372 4.372 4.372
angles (deg): 90.00 90.00 90.00
Atoms (fractional coordinates):
Ru1 0.000 0.500 0.000
Ru2 0.000 0.000 0.500
Ru3 0.500 0.000 0.000
Cr1 0.000 0.000 0.000
Ta1 0.500 0.500 0.500



Below is a relaxed TaCrRu crystal, with properties calculated at the PBE level.

Calculated values
Offset from the most stable computed form: 357.1 meV/atom
Calculated formation energy: 203.2 meV/atom
N(E_F): 1.00 states/eV per atom
Space-group type: Fddd (70)
DFT total energy: -0.7385 Ry/atom

a b c (Å): 4.868 4.728 9.411
angles (deg): 82.35 75.01 59.02
Atoms (fractional coordinates):
Ru1 0.179 0.500 0.643
Ru2 0.321 0.500 0.357
Ru3 0.571 0.000 0.857
Ru4 0.429 0.000 0.143
Cr1 0.625 0.500 0.749
Cr2 0.875 0.500 0.251
Cr3 0.125 0.000 0.751
Cr4 0.875 0.000 0.249
Ta1 0.927 0.145 0.500
Ta2 0.573 0.855 0.500
Ta3 0.823 0.355 0.000
Ta4 0.177 0.645 0.000



Below is a relaxed Ta3Cr2Ru crystal, with properties calculated at the PBE level.

Calculated values
Calculated formation energy: -215.7 meV/atom
N(E_F): 0.70 states/eV per atom
Space-group type: P4/mmm (123)
DFT total energy: -0.8008 Ry/atom

a b c (Å): 3.114 3.114 9.428
angles (deg): 90.00 90.00 90.00
Atoms (fractional coordinates):
Ta1 0.000 0.000 0.000
Ta2 0.000 0.000 0.675
Ta3 0.000 0.000 0.325
Cr1 0.500 0.500 0.834
Cr2 0.500 0.500 0.166
Ru1 0.500 0.500 0.500



Below is a relaxed Ta4CrRu crystal, with properties calculated at the PBE level.

Calculated values
Offset from the most stable computed form: 532.2 meV/atom
Calculated formation energy: 332.9 meV/atom
N(E_F): 0.85 states/eV per atom
Space-group type: P4/mmm (123)
DFT total energy: -0.7878 Ry/atom

a b c (Å): 4.287 4.288 6.165
angles (deg): 89.96 89.98 90.00
Atoms (fractional coordinates):
Ta1 0.501 0.997 0.257
Ta2 0.501 0.998 0.739
Ta3 0.001 0.498 0.739
Ta4 0.001 0.497 0.257
Cr1 0.001 0.997 0.498
Ru1 0.501 0.497 0.998



Below is a relaxed TaCrRu2 crystal, with properties calculated at the PBE level.

Calculated values
Calculated formation energy: 61.5 meV/atom
N(E_F): 1.33 states/eV per atom
Space-group type: Pm (6)
DFT total energy: -0.7310 Ry/atom

a b c (Å): 4.198 2.755 5.219
angles (deg): 76.29 90.00 90.00
Atoms (fractional coordinates):
Cr1 0.500 0.682 0.773
Ru1 0.000 0.974 0.968
Ru2 0.500 0.306 0.265
Ta1 0.000 0.538 0.494



Below is a relaxed TaCrRu crystal, with properties calculated at the PBE level.

Calculated values
Offset from the most stable computed form: 102.6 meV/atom
Calculated formation energy: -51.4 meV/atom
N(E_F): 1.07 states/eV per atom
Space-group type: Amm2 (38)
DFT total energy: -0.7572 Ry/atom

a b c (Å): 4.362 3.092 13.185
angles (deg): 90.00 90.00 90.00
Site moments in Bohr magnetons follow the coordinates.
Atoms (fractional coordinates):
Ru1 0.500 0.000 0.333  0.14
Ru2 0.500 0.500 0.833  0.14
Ru3 0.500 0.000 0.657  0.05
Ru4 0.500 0.500 0.157  0.05
Cr1 0.000 0.000 0.840  1.36
Cr2 0.000 0.500 0.340  1.36
Cr3 0.000 0.000 0.492  -0.55
Cr4 0.000 0.500 0.992  -0.55
Ta1 0.000 0.000 0.169  0.00
Ta2 0.000 0.500 0.669  0.00
Ta3 0.500 0.000 0.993  0.05
Ta4 0.500 0.500 0.493  0.05



Below is a relaxed Ta6CrRu5 crystal, with properties calculated at the PBE level.

Calculated values
Calculated formation energy: -309.1 meV/atom
N(E_F): 0.74 states/eV per atom
Space-group type: Cmmm (65)
DFT total energy: -0.8013 Ry/atom

a b c (Å): 4.396 6.521 6.977
angles (deg): 90.00 71.64 90.00
Atoms (fractional coordinates):
Cr1 0.000 0.000 0.000
Ru1 0.668 0.500 0.664
Ru2 0.331 0.000 0.339
Ru3 0.000 0.500 0.000
Ru4 0.669 0.000 0.661
Ru5 0.332 0.500 0.336
Ta1 0.837 0.754 0.326
Ta2 0.837 0.246 0.326
Ta3 0.500 0.240 0.000
Ta4 0.500 0.760 0.000
Ta5 0.163 0.754 0.674
Ta6 0.163 0.246 0.674



Below is a relaxed TaCrRu crystal, with properties calculated at the PBE level.

Calculated values
Offset from the most stable computed form: 658.1 meV/atom
Calculated formation energy: 504.1 meV/atom
N(E_F): 1.25 states/eV per atom
Space-group type: F-43m (216)
DFT total energy: -0.7164 Ry/atom

a b c (Å): 4.224 4.224 4.224
angles (deg): 60.00 60.00 60.00
Site moments in Bohr magnetons follow the coordinates.
Atoms (fractional coordinates):
Cr1 0.500 0.500 0.500  1.97
Ru1 0.750 0.750 0.750  -0.10
Ta1 0.000 0.000 0.000  -0.18